Compound: CaRhCl2
Source: Alexandria via LeMat-Bulk
Functional: PBE
Structure: relaxed

Output
* formation energy (no corrections): -0.41 eV per atom
* E: -3.6757 eV/atom

Geometry as POSCAR:
```
CaRhCl2
1.0
0.000 3.453 3.453
3.453 0.000 3.453
3.453 3.453 0.000
Ca Rh Cl
1 1 2
Direct
0.000 0.000 0.000
0.750 0.750 0.750
0.250 0.250 0.250
0.500 0.500 0.500
```

Compound: CaRh2Cl
Source: Alexandria via LeMat-Bulk
Functional: PBE
Structure: relaxed

Output
* formation energy (no corrections): 0.21 eV per atom
* E: -4.4243 eV/atom

Geometry as POSCAR:
```
CaRh2Cl
1.0
2.185 -2.190 0.000
2.185 2.190 0.000
0.000 0.000 7.367
Ca Rh Cl
1 2 1
Direct
0.000 0.000 0.000
0.500 0.500 0.284
0.500 0.500 0.716
0.000 0.000 0.500
```

Compound: CaRh2Cl
Source: Alexandria via LeMat-Bulk
Functional: PBE
Structure: relaxed

Output
* formation energy (no corrections): -0.24 eV per atom
* E: -4.8743 eV/atom

Geometry as POSCAR:
```
CaRh2Cl
1.0
3.795 0.000 0.000
1.896 4.391 0.000
0.047 2.141 4.773
Ca Rh Cl
1 2 1
Direct
0.000 0.000 0.000
0.235 0.540 0.601
0.543 0.925 0.579
0.832 0.352 0.365
```

Compound: CaRhCl2
Source: Alexandria via LeMat-Bulk
Functional: PBE
Structure: relaxed

Output
* formation energy (no corrections): -0.88 eV per atom
* E: -4.1422 eV/atom

Geometry as POSCAR:
```
CaRhCl2
1.0
3.267 -3.698 0.000
3.267 3.698 0.000
-3.246 0.000 3.671
Ca Rh Cl
1 1 2
Direct
0.000 0.000 0.000
0.500 0.500 0.000
0.000 0.500 0.500
0.500 0.000 0.500
```

Compound: CaRhCl2
Source: Alexandria via LeMat-Bulk
Functional: PBE
Structure: relaxed

Output
* formation energy (no corrections): -0.79 eV per atom
* E: -4.0505 eV/atom

Geometry as POSCAR:
```
CaRhCl2
1.0
-1.902 1.902 5.513
1.902 -1.902 5.513
1.902 1.902 -5.513
Ca Rh Cl
1 1 2
Direct
0.000 0.000 0.000
0.750 0.250 0.500
0.250 0.750 0.500
0.500 0.500 0.000
```

Compound: CaRhCl2
Source: Alexandria via LeMat-Bulk
Functional: PBE
Structure: relaxed

Output
* formation energy (no corrections): -0.94 eV per atom
* E: -4.2009 eV/atom

Geometry as POSCAR:
```
CaRhCl2
1.0
4.578 0.000 0.000
0.000 4.536 0.000
-1.856 0.000 4.431
Ca Rh Cl
1 1 2
Direct
0.000 0.000 0.000
0.702 0.500 0.286
0.215 0.500 0.778
0.644 0.000 0.364
```